{
  "formula": "BaAcGe2",
  "functional": "PBE",
  "state": "relaxed",
  "cell": [[-3.523, 2.360, 0.161], [-1.977, -2.779, -2.525], [-2.195, -3.670, 5.759]],
  "species": ["Ba", "Ge", "Ge", "Ac"],
  "fractional_positions": [[0.500, 0.500, 0.500], [0.000, 0.000, 0.188], [0.000, 0.000, 0.812], [0.500, 0.500, 0.000]],
  "formation_energy_ev_per_atom": -0.51
}